Computed, not measured: an optimized crystal structure of CaY2CdRh at the PBE-GGA level of DFT.

Output
Uncorrected energy, eV per atom: -3.289
Calculated formation energy, meV per atom: 1350.4
Space-group type: P4/mmm

a = 5.511 Å, b = 5.511 Å, c = 5.088 Å
α = 90.00°, β = 90.00°, γ = 90.00°
Fractional coordinates of all 5 atoms:
Ca: 0.000 0.000 0.000
Y: 0.000 0.500 0.000
Y: 0.500 0.000 0.000
Cd: 0.000 0.000 0.500
Rh: 0.500 0.500 0.500

=====

Computed, not measured: an optimized crystal structure of Rb3HgTe2O9 at the PBE-GGA level of DFT.

Output
Uncorrected energy, eV per atom: -4.560
Uncorrected formation energy, eV per atom: -0.952
Space-group type: P-3m1

a = 5.979 Å, b = 5.979 Å, c = 7.477 Å
α = 90.00°, β = 90.00°, γ = 120.00°
Fractional coordinates of all 15 atoms:
Rb: 0.000 0.000 0.000
Rb: 0.333 0.667 0.658
Rb: 0.667 0.333 0.342
Hg: 0.000 0.000 0.500
Te: 0.333 0.667 0.163
Te: 0.667 0.333 0.837
O: 0.000 0.500 0.000
O: 0.178 0.357 0.301
O: 0.178 0.822 0.301
O: 0.357 0.178 0.699
O: 0.500 0.000 0.000
O: 0.500 0.500 0.000
O: 0.643 0.822 0.301
O: 0.822 0.178 0.699
O: 0.822 0.643 0.699

=====

Computed, not measured: an optimized crystal structure of MnAlCl2 at the PBE-GGA level of DFT.

Output
E above lowest polymorph, kJ/mol of atoms: 20.23
Uncorrected energy, eV per atom: -4.576
Uncorrected formation energy, eV per atom: -0.425
Space-group type: R-3m

a = 3.460 Å, b = 3.460 Å, c = 26.909 Å
α = 90.00°, β = 90.00°, γ = 120.00°
Fractional coordinates of all 12 atoms:
Mn: 0.000 0.000 0.000
Mn: 0.333 0.667 0.667
Mn: 0.667 0.333 0.333
Al: 0.000 0.000 0.500
Al: 0.333 0.667 0.167
Al: 0.667 0.333 0.833
Cl: 0.000 0.000 0.390
Cl: 0.000 0.000 0.610
Cl: 0.333 0.667 0.057
Cl: 0.333 0.667 0.276
Cl: 0.667 0.333 0.724
Cl: 0.667 0.333 0.943

=====

Computed, not measured: an optimized crystal structure of KLi2Ga2 at the PBE-GGA level of DFT.

Output
E above lowest polymorph, kJ/mol of atoms: 0.00
Uncorrected energy, eV per atom: -2.296
Calculated formation energy, meV per atom: -100.6
Space-group type: P4/mbm

a = 8.332 Å, b = 8.332 Å, c = 3.037 Å
α = 90.00°, β = 90.00°, γ = 90.00°
Fractional coordinates of all 10 atoms:
K: 0.000 0.000 0.000
K: 0.500 0.500 0.000
Li: 0.172 0.328 0.000
Li: 0.328 0.828 0.000
Li: 0.672 0.172 0.000
Li: 0.828 0.672 0.000
Ga: 0.113 0.613 0.500
Ga: 0.387 0.113 0.500
Ga: 0.613 0.887 0.500
Ga: 0.887 0.387 0.500

=====

Computed, not measured: an optimized crystal structure of Rb6Au2I3O at the PBE-GGA level of DFT.

Output
Uncorrected energy, eV per atom: -2.728
Uncorrected formation energy, eV per atom: -0.897
Space-group type: C2/m

a = 8.807 Å, b = 8.807 Å, c = 8.645 Å
α = 99.80°, β = 99.80°, γ = 120.04°
Fractional coordinates of all 12 atoms:
Rb: 0.074 0.387 0.223
Rb: 0.236 0.236 0.777
Rb: 0.387 0.074 0.223
Rb: 0.613 0.926 0.777
Rb: 0.764 0.764 0.223
Rb: 0.926 0.613 0.777
Au: 0.334 0.666 0.000
Au: 0.666 0.334 0.000
I: 0.171 0.829 0.500
I: 0.500 0.500 0.500
I: 0.829 0.171 0.500
O: 0.000 0.000 0.000

=====

Computed, not measured: an optimized crystal structure of SiTe2IN at the PBE-GGA level of DFT.

Output
E above lowest polymorph, kJ/mol of atoms: 59.54
Uncorrected energy, eV per atom: -3.307
Uncorrected formation energy, eV per atom: 1.010
Space-group type: P4/mmm

a = 4.903 Å, b = 4.903 Å, c = 4.769 Å
α = 90.00°, β = 90.00°, γ = 90.00°
Fractional coordinates of all 5 atoms:
Si: 0.000 0.000 0.000
Te: 0.000 0.500 0.500
Te: 0.500 0.000 0.500
I: 0.500 0.500 0.000
N: 0.500 0.500 0.500

=====

Computed, not measured: an optimized crystal structure of YCr2W at the PBE-GGA level of DFT.

Output
E above lowest polymorph, kJ/mol of atoms: 13.79
Uncorrected energy, eV per atom: -9.147
Calculated formation energy, meV per atom: 519.1
Space-group type: Fm-3m

a = 6.440 Å, b = 6.440 Å, c = 6.440 Å
α = 90.00°, β = 90.00°, γ = 90.00°
Fractional coordinates of all 16 atoms:
Y: 0.000 0.000 0.000
Y: 0.000 0.500 0.500
Y: 0.500 0.000 0.500
Y: 0.500 0.500 0.000
Cr: 0.250 0.250 0.250
Cr: 0.250 0.250 0.750
Cr: 0.250 0.750 0.250
Cr: 0.250 0.750 0.750
Cr: 0.750 0.250 0.250
Cr: 0.750 0.250 0.750
Cr: 0.750 0.750 0.250
Cr: 0.750 0.750 0.750
W: 0.000 0.000 0.500
W: 0.000 0.500 0.000
W: 0.500 0.000 0.000
W: 0.500 0.500 0.500

=====

Computed, not measured: an optimized crystal structure of Th2S2O at the PBE-GGA level of DFT.

Output
Uncorrected energy, eV per atom: -7.779
Uncorrected formation energy, eV per atom: -2.168
Space-group type: Immm

a = 3.651 Å, b = 5.604 Å, c = 11.437 Å
α = 90.00°, β = 90.00°, γ = 90.00°
Fractional coordinates of all 10 atoms:
Th: 0.000 0.000 0.150
Th: 0.000 0.000 0.850
Th: 0.500 0.500 0.350
Th: 0.500 0.500 0.650
S: 0.000 0.500 0.160
S: 0.000 0.500 0.840
S: 0.500 0.000 0.340
S: 0.500 0.000 0.660
O: 0.000 0.500 0.500
O: 0.500 0.000 0.000

=====

Computed, not measured: an optimized crystal structure of CaCoP2 at the PBE-GGA level of DFT.

Output
E above lowest polymorph, kJ/mol of atoms: 49.18
Uncorrected energy, eV per atom: -5.174
Calculated formation energy, meV per atom: -192.3
Space-group type: P4mm

a = 3.188 Å, b = 3.188 Å, c = 6.380 Å
α = 90.00°, β = 90.00°, γ = 90.00°
Fractional coordinates of all 4 atoms:
Ca: 0.000 0.000 0.000
Co: 0.500 0.500 0.373
P: 0.000 0.000 0.462
P: 0.500 0.500 0.718

=====

Computed, not measured: an optimized crystal structure of Tb3Pm4Nd at the PBE-GGA level of DFT.

Output
E above lowest polymorph, kJ/mol of atoms: 0.00
Uncorrected energy, eV per atom: -4.680
Calculated formation energy, meV per atom: 27.9
Space-group type: Pmn2_1

a = 11.657 Å, b = 7.344 Å, c = 6.343 Å
α = 90.00°, β = 90.00°, γ = 90.00°
Fractional coordinates of all 16 atoms:
Tb: 0.000 0.123 0.000
Tb: 0.250 0.123 0.333
Tb: 0.250 0.877 0.833
Tb: 0.500 0.877 0.500
Tb: 0.750 0.123 0.333
Tb: 0.750 0.877 0.833
Pm: 0.000 0.373 0.498
Pm: 0.000 0.627 0.002
Pm: 0.248 0.374 0.834
Pm: 0.252 0.626 0.334
Pm: 0.500 0.373 0.502
Pm: 0.500 0.627 0.998
Pm: 0.748 0.626 0.334
Pm: 0.752 0.374 0.834
Nd: 0.000 0.875 0.500
Nd: 0.500 0.125 0.000

=====

Computed, not measured: an optimized crystal structure of Hf3ZrZn at the PBE-GGA level of DFT.

Output
E above lowest polymorph, kJ/mol of atoms: 69.05
Uncorrected energy, eV per atom: -7.245
Calculated formation energy, meV per atom: 691.4
Space-group type: Pm-3m

a = 4.950 Å, b = 4.950 Å, c = 4.950 Å
α = 90.00°, β = 90.00°, γ = 90.00°
Fractional coordinates of all 5 atoms:
Hf: 0.000 0.000 0.500
Hf: 0.000 0.500 0.000
Hf: 0.500 0.000 0.000
Zr: 0.500 0.500 0.500
Zn: 0.000 0.000 0.000

=====

Computed, not measured: an optimized crystal structure of TmSc5Ga6 at the PBE-GGA level of DFT.

Output
Uncorrected energy, eV per atom: -5.109
Calculated formation energy, meV per atom: -584.6
Space-group type: Immm

a = 8.309 Å, b = 8.309 Å, c = 8.309 Å
α = 146.41°, β = 132.25°, γ = 59.64°
Fractional coordinates of all 12 atoms:
Tm: 0.000 0.000 0.000
Sc: 0.164 0.664 0.500
Sc: 0.332 0.332 0.000
Sc: 0.500 0.000 0.500
Sc: 0.668 0.668 0.000
Sc: 0.836 0.336 0.500
Ga: 0.086 0.830 0.256
Ga: 0.262 0.500 0.762
Ga: 0.426 0.170 0.256
Ga: 0.574 0.830 0.744
Ga: 0.738 0.500 0.238
Ga: 0.914 0.170 0.744

=====

Computed, not measured: an optimized crystal structure of PmAsP2 at the PBE-GGA level of DFT.

Output
E above lowest polymorph, kJ/mol of atoms: 6.66
Uncorrected energy, eV per atom: -5.457
Calculated formation energy, meV per atom: -401.5
Space-group type: P4/mmm

a = 4.558 Å, b = 4.558 Å, c = 3.813 Å
α = 90.00°, β = 90.00°, γ = 90.00°
Fractional coordinates of all 4 atoms:
Pm: 0.000 0.000 0.000
As: 0.500 0.500 0.000
P: 0.000 0.500 0.500
P: 0.500 0.000 0.500

=====

Computed, not measured: an optimized crystal structure of Lu2NiPb at the PBE-GGA level of DFT.

Output
E above lowest polymorph, kJ/mol of atoms: 12.83
Uncorrected energy, eV per atom: -4.929
Calculated formation energy, meV per atom: -296.0
Space-group type: Fm-3m

a = 7.140 Å, b = 7.140 Å, c = 7.140 Å
α = 90.00°, β = 90.00°, γ = 90.00°
Fractional coordinates of all 16 atoms:
Lu: 0.250 0.250 0.250
Lu: 0.250 0.250 0.750
Lu: 0.250 0.750 0.250
Lu: 0.250 0.750 0.750
Lu: 0.750 0.250 0.250
Lu: 0.750 0.250 0.750
Lu: 0.750 0.750 0.250
Lu: 0.750 0.750 0.750
Ni: 0.000 0.000 0.000
Ni: 0.000 0.500 0.500
Ni: 0.500 0.000 0.500
Ni: 0.500 0.500 0.000
Pb: 0.000 0.000 0.500
Pb: 0.000 0.500 0.000
Pb: 0.500 0.000 0.000
Pb: 0.500 0.500 0.500

=====

Computed, not measured: an optimized crystal structure of Ba2TaOs at the PBE-GGA level of DFT.

Output
E above lowest polymorph, kJ/mol of atoms: 24.36
Uncorrected energy, eV per atom: -6.174
Calculated formation energy, meV per atom: 558.1
Space-group type: Imm2

a = 3.739 Å, b = 5.806 Å, c = 11.771 Å
α = 90.00°, β = 90.00°, γ = 90.00°
Fractional coordinates of all 8 atoms:
Ba: 0.000 0.000 0.000
Ba: 0.000 0.500 0.207
Ba: 0.500 0.000 0.707
Ba: 0.500 0.500 0.500
Ta: 0.000 0.000 0.393
Ta: 0.500 0.500 0.893
Os: 0.000 0.500 0.760
Os: 0.500 0.000 0.260

=====

Computed, not measured: an optimized crystal structure of Sr2LaMnSe at the PBE-GGA level of DFT.

Output
Uncorrected energy, eV per atom: -4.241
Uncorrected formation energy, eV per atom: -0.052
Space-group type: P4/mmm

a = 5.743 Å, b = 5.743 Å, c = 4.893 Å
α = 90.00°, β = 90.00°, γ = 90.00°
Fractional coordinates of all 5 atoms:
Sr: 0.000 0.500 0.000
Sr: 0.500 0.000 0.000
La: 0.000 0.000 0.500
Mn: 0.000 0.000 0.000
Se: 0.500 0.500 0.500

=====

Computed, not measured: an optimized crystal structure of Ca3GeBi at the PBE-GGA level of DFT.

Output
E above lowest polymorph, kJ/mol of atoms: 55.11
Uncorrected energy, eV per atom: -2.958
Calculated formation energy, meV per atom: -57.5
Space-group type: Pm-3m

a = 5.893 Å, b = 5.893 Å, c = 5.893 Å
α = 90.00°, β = 90.00°, γ = 90.00°
Fractional coordinates of all 5 atoms:
Ca: 0.000 0.000 0.500
Ca: 0.000 0.500 0.000
Ca: 0.500 0.000 0.000
Ge: 0.500 0.500 0.500
Bi: 0.000 0.000 0.000

=====

Computed, not measured: an optimized crystal structure of SmPuSnHg at the PBE-GGA level of DFT.

Output
E above lowest polymorph, kJ/mol of atoms: 0.00
Uncorrected energy, eV per atom: -6.240
Calculated formation energy, meV per atom: -401.2
Space-group type: F-43m

a = 7.607 Å, b = 7.607 Å, c = 7.607 Å
α = 90.00°, β = 90.00°, γ = 90.00°
Fractional coordinates of all 16 atoms:
Sm: 0.000 0.000 0.000
Sm: 0.000 0.500 0.500
Sm: 0.500 0.000 0.500
Sm: 0.500 0.500 0.000
Pu: 0.000 0.000 0.500
Pu: 0.000 0.500 0.000
Pu: 0.500 0.000 0.000
Pu: 0.500 0.500 0.500
Sn: 0.250 0.250 0.250
Sn: 0.250 0.750 0.750
Sn: 0.750 0.250 0.750
Sn: 0.750 0.750 0.250
Hg: 0.250 0.250 0.750
Hg: 0.250 0.750 0.250
Hg: 0.750 0.250 0.250
Hg: 0.750 0.750 0.750

=====

Computed, not measured: an optimized crystal structure of ThBeNi3 at the PBE-GGA level of DFT.

Output
E above lowest polymorph, kJ/mol of atoms: 1.79
Uncorrected energy, eV per atom: -6.045
Calculated formation energy, meV per atom: -346.7
Space-group type: P6_3/mmc

a = 5.697 Å, b = 5.697 Å, c = 10.275 Å
α = 90.00°, β = 90.00°, γ = 120.00°
Fractional coordinates of all 20 atoms:
Th: 0.000 0.000 0.000
Th: 0.000 0.000 0.500
Th: 0.333 0.667 0.250
Th: 0.667 0.333 0.750
Be: 0.333 0.667 0.643
Be: 0.333 0.667 0.857
Be: 0.667 0.333 0.143
Be: 0.667 0.333 0.357
Ni: 0.000 0.500 0.000
Ni: 0.000 0.500 0.500
Ni: 0.143 0.287 0.750
Ni: 0.143 0.857 0.750
Ni: 0.287 0.143 0.250
Ni: 0.500 0.000 0.000
Ni: 0.500 0.000 0.500
Ni: 0.500 0.500 0.000
Ni: 0.500 0.500 0.500
Ni: 0.713 0.857 0.750
Ni: 0.857 0.143 0.250
Ni: 0.857 0.713 0.250

=====

Computed, not measured: an optimized crystal structure of RbAcPI at the PBE-GGA level of DFT.

Output
Uncorrected energy, eV per atom: -4.230
Uncorrected formation energy, eV per atom: -1.221
Space-group type: R3m

a = 4.646 Å, b = 4.646 Å, c = 26.171 Å
α = 90.00°, β = 90.00°, γ = 120.00°
Fractional coordinates of all 12 atoms:
Rb: 0.000 0.000 0.000
Rb: 0.333 0.667 0.667
Rb: 0.667 0.333 0.333
Ac: 0.000 0.000 0.802
Ac: 0.333 0.667 0.468
Ac: 0.667 0.333 0.135
P: 0.000 0.000 0.420
P: 0.333 0.667 0.087
P: 0.667 0.333 0.753
I: 0.000 0.000 0.227
I: 0.333 0.667 0.894
I: 0.667 0.333 0.561

=====

Computed, not measured: an optimized crystal structure of Ce2PtI at the PBE-GGA level of DFT.

Output
E above lowest polymorph, kJ/mol of atoms: 9.59
Uncorrected energy, eV per atom: -5.764
Uncorrected formation energy, eV per atom: -0.900
Space-group type: Pmmn

a = 4.024 Å, b = 7.468 Å, c = 8.206 Å
α = 90.00°, β = 90.00°, γ = 90.00°
Fractional coordinates of all 8 atoms:
Ce: 0.250 0.004 0.199
Ce: 0.250 0.496 0.199
Ce: 0.750 0.504 0.801
Ce: 0.750 0.996 0.801
Pt: 0.250 0.750 0.926
Pt: 0.750 0.250 0.074
I: 0.250 0.250 0.557
I: 0.750 0.750 0.443

=====

Computed, not measured: an optimized crystal structure of AcAl8Fe4 at the PBE-GGA level of DFT.

Output
Uncorrected energy, eV per atom: -5.545
Calculated formation energy, meV per atom: -321.9
Space-group type: I4/mmm

a = 6.810 Å, b = 6.810 Å, c = 6.810 Å
α = 97.97°, β = 97.97°, γ = 136.27°
Fractional coordinates of all 13 atoms:
Ac: 0.000 0.000 0.000
Al: 0.000 0.347 0.347
Al: 0.000 0.653 0.653
Al: 0.268 0.500 0.768
Al: 0.347 0.000 0.347
Al: 0.500 0.268 0.768
Al: 0.500 0.732 0.232
Al: 0.653 0.000 0.653
Al: 0.732 0.500 0.232
Fe: 0.000 0.000 0.500
Fe: 0.000 0.500 0.000
Fe: 0.500 0.000 0.000
Fe: 0.500 0.500 0.500

=====

Computed, not measured: an optimized crystal structure of La8PrSc2 at the PBE-GGA level of DFT.

Output
Uncorrected energy, eV per atom: -5.060
Calculated formation energy, meV per atom: 109.4
Space-group type: Immm

a = 9.486 Å, b = 9.486 Å, c = 9.486 Å
α = 145.81°, β = 126.04°, γ = 65.45°
Fractional coordinates of all 11 atoms:
La: 0.156 0.355 0.801
La: 0.160 0.160 0.000
La: 0.303 0.000 0.303
La: 0.446 0.645 0.801
La: 0.554 0.355 0.199
La: 0.697 0.000 0.697
La: 0.840 0.840 0.000
La: 0.844 0.645 0.199
Pr: 0.000 0.500 0.500
Sc: 0.298 0.798 0.500
Sc: 0.702 0.202 0.500

=====

Computed, not measured: an optimized crystal structure of Al2NiPb at the PBE-GGA level of DFT.

Output
Uncorrected energy, eV per atom: -4.284
Calculated formation energy, meV per atom: -39.8
Space-group type: C2/m

a = 7.110 Å, b = 4.144 Å, c = 6.117 Å
α = 90.00°, β = 116.09°, γ = 90.00°
Fractional coordinates of all 8 atoms:
Al: 0.207 0.000 0.110
Al: 0.293 0.500 0.890
Al: 0.707 0.500 0.110
Al: 0.793 0.000 0.890
Ni: 0.000 0.500 0.000
Ni: 0.500 0.000 0.000
Pb: 0.000 0.000 0.500
Pb: 0.500 0.500 0.500

=====

Computed, not measured: an optimized crystal structure of HgSbAu2 at the PBE-GGA level of DFT.

Output
E above lowest polymorph, kJ/mol of atoms: 5.94
Uncorrected energy, eV per atom: -2.660
Uncorrected formation energy, eV per atom: 0.085
Space-group type: R3m

a = 3.831 Å, b = 3.831 Å, c = 22.464 Å
α = 90.00°, β = 90.00°, γ = 120.00°
Fractional coordinates of all 12 atoms:
Hg: 0.000 0.000 0.000
Hg: 0.333 0.667 0.667
Hg: 0.667 0.333 0.333
Sb: 0.000 0.000 0.769
Sb: 0.333 0.667 0.435
Sb: 0.667 0.333 0.102
Au: 0.000 0.000 0.252
Au: 0.000 0.000 0.510
Au: 0.333 0.667 0.176
Au: 0.333 0.667 0.919
Au: 0.667 0.333 0.585
Au: 0.667 0.333 0.843